First-principles (PBE) data for a relaxed Pu5CdGe4 crystal, as listed in Alexandria via LeMat-Bulk.

Computed properties:
energy of formation from the pure elements: -103 meV/atom
D(E_F): 27.018 states/eV per cell

Cell: 3.851 3.851 14.274 Å, 90.00 90.00 90.00°
Atoms (fractional coordinates):
Pu (0.500, 0.500, 0.134)
Pu (0.500, 0.500, 0.305)
Pu (0.500, 0.500, 0.500)
Pu (0.500, 0.500, 0.695)
Pu (0.500, 0.500, 0.866)
Cd (0.000, 0.000, 0.000)
Ge (0.000, 0.000, 0.217)
Ge (0.000, 0.000, 0.400)
Ge (0.000, 0.000, 0.600)
Ge (0.000, 0.000, 0.783)